DFT (PBE with a Hubbard U) results for a relaxed TeP2WO crystal.

a = 4.978 Å, b = 4.978 Å, c = 3.837 Å
α = 90.00°, β = 90.00°, γ = 90.00°
Element x y z (fractional)
1 Te 0.000 0.000 0.000
2 P 0.000 0.500 0.500
3 P 0.500 0.000 0.500
4 W 0.500 0.500 0.500
5 O 0.500 0.500 0.000

- Crystal system: tetragonal
- E: -0.39030 Ry/atom